Entry 1:
Entry from Alexandria: an optimized crystal structure of Mg3MoW (PBE).

Cell and atoms, written as POSCAR:
```
Mg3MoW
1.0
4.979 0.000 0.000
0.000 4.979 0.000
0.000 0.000 4.979
Mo Mg W
1 3 1
direct
0.000 0.000 0.000
0.000 0.500 0.000
0.000 0.000 0.500
0.500 0.000 0.000
0.500 0.500 0.500
```

- Energy relative to the elements: 1.9840 eV/atom
- Distance to the lowest polymorph of the same formula: 0.00 kJ/mol of atoms
- Symmetry: Pm-3m, No. 221
- Crystal system: cubic
- Total moment: 0.4693 μB/atom
- D(E_F): 6.76 states/eV per cell



Entry 2:
Entry from Alexandria: an optimized crystal structure of TlAg2Os (PBE).

Cell and atoms, written as POSCAR:
```
TlAg2Os
1.0
5.984 0.085 0.239
5.206 2.952 0.239
1.710 0.464 4.432
Tl Os Ag
1 1 2
direct
0.750 0.750 0.750
0.250 0.250 0.250
0.977 0.977 0.023
0.523 0.523 0.477
```

- Energy relative to the elements: 0.6539 eV/atom
- Distance to the lowest polymorph of the same formula: 1.81 kJ/mol of atoms
- Symmetry: C2/m, No. 12
- Crystal system: monoclinic
- Total moment: 0.0000 μB/atom
- D(E_F): 2.08 states/eV per cell